(1)
The following is a PBE calculation of a relaxed AcNdRuI crystal, from Alexandria.

Summary:
The space group is Cm, No. 8. Its formation energy (no corrections) is -0.630 eV per atom. The volume comes out at 262.8 Å³ per cell. Its uncorrected energy is -44.44 eV per cell. Its size of the total moment is 0.000 μB/f.u. The value obtained for the density of states at the Fermi level is 2.3 states/eV/f.u.

Cell: 7.344 4.231 8.806 Å, 90.00 106.20 90.00°
Positions (direct):
Ac (0.000, 0.000, 0.000)
Ac (0.500, 0.500, 0.000)
Nd (0.211, 0.000, 0.631)
Nd (0.711, 0.500, 0.631)
Ru (0.103, 0.500, 0.809)
Ru (0.603, 0.000, 0.809)
I (0.279, 0.500, 0.334)
I (0.779, 0.000, 0.334)

---

(2)
The following is a PBE calculation of a relaxed AcNdSbI crystal, from Alexandria.

Summary:
The space group is F-43m, No. 216. Its formation energy (no corrections) is -0.998 eV per atom. The volume comes out at 512.9 Å³ per cell. Its uncorrected energy is -74.16 eV per cell. Its size of the total moment is 0.001 μB/f.u. The value obtained for the density of states at the Fermi level is 3.5 states/eV/f.u.

Cell: 8.004 8.004 8.004 Å, 90.00 90.00 90.00°
Positions (direct):
Ac (0.000, 0.000, 0.000)
Ac (0.000, 0.500, 0.500)
Ac (0.500, 0.000, 0.500)
Ac (0.500, 0.500, 0.000)
Nd (0.000, 0.000, 0.500)
Nd (0.000, 0.500, 0.000)
Nd (0.500, 0.000, 0.000)
Nd (0.500, 0.500, 0.500)
Sb (0.250, 0.250, 0.750)
Sb (0.250, 0.750, 0.250)
Sb (0.750, 0.250, 0.250)
Sb (0.750, 0.750, 0.750)
I (0.250, 0.250, 0.250)
I (0.250, 0.750, 0.750)
I (0.750, 0.250, 0.750)
I (0.750, 0.750, 0.250)

---

(3)
The following is a PBE calculation of a relaxed AcNdTe2I crystal, from Alexandria.

Summary:
The space group is P4/nmm, No. 129. Its formation energy (no corrections) is -1.280 eV per atom. The volume comes out at 352.8 Å³ per cell. Its uncorrected energy is -46.22 eV per cell. Its size of the total moment is 0.000 μB/f.u. The value obtained for the density of states at the Fermi level is 2.2 states/eV/f.u.

Cell: 4.763 4.763 15.549 Å, 90.00 90.00 90.00°
Positions (direct):
Ac (0.250, 0.250, 0.093)
Ac (0.750, 0.750, 0.907)
Nd (0.250, 0.250, 0.648)
Nd (0.750, 0.750, 0.352)
Te (0.250, 0.250, 0.304)
Te (0.250, 0.250, 0.872)
Te (0.750, 0.750, 0.128)
Te (0.750, 0.750, 0.696)
I (0.250, 0.750, 0.500)
I (0.750, 0.250, 0.500)

---

(4)
The following is a PBE calculation of a relaxed Ac7NiI12 crystal, from Alexandria.

Summary:
The space group is R-3, No. 148. Its formation energy (no corrections) is -1.273 eV per atom. The volume comes out at 947.6 Å³ per cell. Its uncorrected energy is -78.60 eV per cell. Its size of the total moment is 0.358 μB/f.u. The value obtained for the density of states at the Fermi level is 9.2 states/eV/f.u.

Cell: 10.501 10.501 10.501 Å, 107.62 107.62 107.62°
Positions (direct):
Ac (0.000, 0.000, 0.000)
Ac (0.192, 0.468, 0.390)
Ac (0.390, 0.192, 0.468)
Ac (0.468, 0.390, 0.192)
Ac (0.532, 0.610, 0.808)
Ac (0.610, 0.808, 0.532)
Ac (0.808, 0.532, 0.610)
Ni (0.500, 0.500, 0.500)
I (0.018, 0.106, 0.340)
I (0.106, 0.340, 0.018)
I (0.179, 0.572, 0.722)
I (0.278, 0.821, 0.428)
I (0.340, 0.018, 0.106)
I (0.428, 0.278, 0.821)
I (0.572, 0.722, 0.179)
I (0.660, 0.982, 0.894)
I (0.722, 0.179, 0.572)
I (0.821, 0.428, 0.278)
I (0.894, 0.660, 0.982)
I (0.982, 0.894, 0.660)

---

(5)
The following is a PBE calculation of a relaxed Ac3Ni3I crystal, from Alexandria.

Summary:
The space group is P6_3/m, No. 176. Its formation energy (no corrections) is -0.486 eV per atom. The volume comes out at 399.7 Å³ per cell. Its uncorrected energy is -69.24 eV per cell. Its size of the total moment is 0.000 μB/f.u. The value obtained for the density of states at the Fermi level is 5.0 states/eV/f.u.

Cell: 10.378 10.378 4.285 Å, 90.00 90.00 120.00°
Positions (direct):
Ac (0.065, 0.360, 0.250)
Ac (0.294, 0.935, 0.250)
Ac (0.360, 0.294, 0.750)
Ac (0.640, 0.706, 0.250)
Ac (0.706, 0.065, 0.750)
Ac (0.935, 0.640, 0.750)
Ni (0.023, 0.148, 0.750)
Ni (0.125, 0.977, 0.750)
Ni (0.148, 0.125, 0.250)
Ni (0.852, 0.875, 0.750)
Ni (0.875, 0.023, 0.250)
Ni (0.977, 0.852, 0.250)
I (0.333, 0.667, 0.750)
I (0.667, 0.333, 0.250)

---

(6)
The following is a PBE calculation of a relaxed Ac6NiI12 crystal, from Alexandria.

Summary:
The space group is R-3m, No. 166. Its formation energy (no corrections) is -1.161 eV per atom. The volume comes out at 782.0 Å³ per cell. Its uncorrected energy is -71.10 eV per cell. Its size of the total moment is 1.165 μB/f.u. The value obtained for the density of states at the Fermi level is 8.9 states/eV/f.u.

Cell: 9.476 9.476 9.476 Å, 75.57 75.57 75.57°
Positions (direct):
Ac (0.278, 0.278, 0.681)
Ac (0.278, 0.681, 0.278)
Ac (0.319, 0.722, 0.722)
Ac (0.681, 0.278, 0.278)
Ac (0.722, 0.319, 0.722)
Ac (0.722, 0.722, 0.319)
Ni (0.500, 0.500, 0.500)
I (0.047, 0.047, 0.679)
I (0.047, 0.679, 0.047)
I (0.056, 0.615, 0.615)
I (0.321, 0.953, 0.953)
I (0.385, 0.385, 0.944)
I (0.385, 0.944, 0.385)
I (0.615, 0.056, 0.615)
I (0.615, 0.615, 0.056)
I (0.679, 0.047, 0.047)
I (0.944, 0.385, 0.385)
I (0.953, 0.321, 0.953)
I (0.953, 0.953, 0.321)

---

(7)
The following is a PBE calculation of a relaxed AcNiI2 crystal, from Alexandria.

Summary:
The space group is R-3m, No. 166. Its formation energy (no corrections) is -0.316 eV per atom. The volume comes out at 437.5 Å³ per cell. Its uncorrected energy is -42.77 eV per cell. Its size of the total moment is 0.459 μB/f.u. The value obtained for the density of states at the Fermi level is 7.4 states/eV/f.u.

Cell: 4.182 4.182 28.887 Å, 90.00 90.00 120.00°
Positions (direct):
Ac (0.000, 0.000, 0.000)
Ac (0.333, 0.667, 0.667)
Ac (0.667, 0.333, 0.333)
Ni (0.000, 0.000, 0.500)
Ni (0.333, 0.667, 0.167)
Ni (0.667, 0.333, 0.833)
I (0.000, 0.000, 0.416)
I (0.000, 0.000, 0.584)
I (0.333, 0.667, 0.083)
I (0.333, 0.667, 0.250)
I (0.667, 0.333, 0.750)
I (0.667, 0.333, 0.917)

---

(8)
The following is a PBE calculation of a relaxed Ac2NiI2 crystal, from Alexandria.

Summary:
The space group is R-3m, No. 166. Its formation energy (no corrections) is -0.898 eV per atom. The volume comes out at 609.7 Å³ per cell. Its uncorrected energy is -64.77 eV per cell. Its size of the total moment is 0.000 μB/f.u. The value obtained for the density of states at the Fermi level is 2.3 states/eV/f.u.

Cell: 4.412 4.412 36.173 Å, 90.00 90.00 120.00°
Positions (direct):
Ac (0.000, 0.000, 0.121)
Ac (0.000, 0.000, 0.879)
Ac (0.333, 0.667, 0.546)
Ac (0.333, 0.667, 0.787)
Ac (0.667, 0.333, 0.213)
Ac (0.667, 0.333, 0.454)
Ni (0.000, 0.000, 0.500)
Ni (0.333, 0.667, 0.167)
Ni (0.667, 0.333, 0.833)
I (0.000, 0.000, 0.390)
I (0.000, 0.000, 0.610)
I (0.333, 0.667, 0.056)
I (0.333, 0.667, 0.277)
I (0.667, 0.333, 0.723)
I (0.667, 0.333, 0.944)

---

(9)
The following is a PBE calculation of a relaxed Ac4Ni2I crystal, from Alexandria.

Summary:
The space group is R-3m, No. 166. Its formation energy (no corrections) is -0.462 eV per atom. The volume comes out at 254.1 Å³ per cell. Its uncorrected energy is -32.78 eV per cell. Its size of the total moment is 0.000 μB/f.u. The value obtained for the density of states at the Fermi level is 5.4 states/eV/f.u.

Cell: 15.889 15.889 15.889 Å, 15.64 15.64 15.64°
Positions (direct):
Ac (0.125, 0.125, 0.125)
Ac (0.275, 0.275, 0.275)
Ac (0.725, 0.725, 0.725)
Ac (0.875, 0.875, 0.875)
Ni (0.425, 0.425, 0.425)
Ni (0.575, 0.575, 0.575)
I (0.000, 0.000, 0.000)

---

(10)
The following is a PBE calculation of a relaxed Ac4Ni2I5 crystal, from Alexandria.

Summary:
The space group is Immm, No. 71. Its formation energy (no corrections) is -0.946 eV per atom. The volume comes out at 420.9 Å³ per cell. Its uncorrected energy is -46.15 eV per cell. Its size of the total moment is 0.580 μB/f.u. The value obtained for the density of states at the Fermi level is 5.9 states/eV/f.u.

Cell: 11.498 11.498 11.498 Å, 158.30 131.27 53.94°
Positions (direct):
Ac (0.182, 0.182, 0.000)
Ac (0.204, 0.500, 0.704)
Ac (0.796, 0.500, 0.296)
Ac (0.818, 0.818, 0.000)
Ni (0.054, 0.054, 0.000)
Ni (0.946, 0.946, 0.000)
I (0.114, 0.331, 0.783)
I (0.451, 0.669, 0.783)
I (0.500, 0.000, 0.500)
I (0.549, 0.331, 0.217)
I (0.886, 0.669, 0.217)

---

(11)
The following is a PBE calculation of a relaxed Ac4NiI5 crystal, from Alexandria.

Summary:
The space group is C2/m, No. 12. Its formation energy (no corrections) is -1.120 eV per atom. The volume comes out at 429.5 Å³ per cell. Its uncorrected energy is -41.16 eV per cell. Its size of the total moment is 0.000 μB/f.u. The value obtained for the density of states at the Fermi level is 4.4 states/eV/f.u.

Cell: 10.707 10.707 9.653 Å, 103.47 103.47 23.56°
Positions (direct):
Ac (0.001, 0.001, 0.295)
Ac (0.353, 0.353, 0.415)
Ac (0.647, 0.647, 0.585)
Ac (0.999, 0.999, 0.705)
Ni (0.500, 0.500, 0.500)
I (0.167, 0.167, 0.860)
I (0.177, 0.177, 0.330)
I (0.500, 0.500, 0.000)
I (0.823, 0.823, 0.670)
I (0.833, 0.833, 0.140)

---

(12)
The following is a PBE calculation of a relaxed Ac6Ni3I2 crystal, from Alexandria.

Summary:
The space group is C2/m, No. 12. Its formation energy (no corrections) is -0.523 eV per atom. The volume comes out at 416.1 Å³ per cell. Its uncorrected energy is -50.84 eV per cell. Its size of the total moment is 0.001 μB/f.u. The value obtained for the density of states at the Fermi level is 7.5 states/eV/f.u.

Cell: 7.544 7.544 8.787 Å, 98.10 98.10 119.88°
Positions (direct):
Ac (0.105, 0.433, 0.815)
Ac (0.222, 0.222, 0.186)
Ac (0.433, 0.105, 0.815)
Ac (0.567, 0.895, 0.185)
Ac (0.778, 0.778, 0.814)
Ac (0.895, 0.567, 0.185)
Ni (0.169, 0.831, 0.000)
Ni (0.500, 0.500, 0.000)
Ni (0.831, 0.169, 0.000)
I (0.333, 0.667, 0.500)
I (0.667, 0.333, 0.500)